The following is a PBE calculation of PtPb5 after structural relaxation, from Alexandria.

Cell lengths 10.059, 4.332, 8.006 Å; angles 90.00, 90.00, 90.00 degrees
Fractional positions:
Pt 0.250 0.000 0.212
Pt 0.750 0.000 0.788
Pb 0.000 0.000 0.000
Pb 0.069 0.500 0.316
Pb 0.250 0.000 0.579
Pb 0.250 0.500 0.927
Pb 0.431 0.500 0.316
Pb 0.500 0.000 0.000
Pb 0.569 0.500 0.684
Pb 0.750 0.000 0.421
Pb 0.750 0.500 0.073
Pb 0.931 0.500 0.684

Calculated values
Crystal system: orthorhombic
N(E_F) in states/eV/cell: 5.2
Electronic total energy in eV per atom: -4.1468
E above lowest polymorph in eV per atom: 0.0002